Density functional theory data (GGA-PBEsol) for a relaxed structure of BeTc2Te.

Values from the calculation:
The calculated total energy comes out at -57.5 eV per cell. As for the mass density: 9.732 g/cm3. Its uncorrected formation energy is 323.4 meV/atom. The density of states at the Fermi level comes out at 7.89 states/eV/cell. For the volume, the calculation gives 14.2 A^3/atom. As for the energy above the most stable polymorph in this dataset: 0.112 eV per atom.

Cell lengths 3.200, 4.586, 7.735 Å; angles 90.00, 90.00, 90.00 degrees
Atoms (fractional coordinates):
Be 0.000 0.000 0.000
Be 0.500 0.500 0.500
Tc 0.000 0.500 0.293
Tc 0.000 0.500 0.707
Tc 0.500 0.000 0.207
Tc 0.500 0.000 0.793
Te 0.000 0.000 0.500
Te 0.500 0.500 0.000

=====

Density functional theory data (GGA-PBEsol) for a relaxed structure of LiAu2.

Values from the calculation:
The calculated total energy comes out at -44.2 eV per cell. As for the mass density: 14.210 g/cm3. The density of states at the Fermi level comes out at 2.95 states/eV/cell. For the volume, the calculation gives 15.6 A^3/atom.

Cell lengths 12.481, 12.481, 12.481 Å; angles 161.91, 161.91, 25.69 degrees
Atoms (fractional coordinates):
Li 0.294 0.544 0.750
Li 0.456 0.706 0.750
Li 0.544 0.294 0.250
Li 0.706 0.456 0.250
Au 0.039 0.789 0.250
Au 0.123 0.373 0.750
Au 0.211 0.961 0.250
Au 0.373 0.123 0.250
Au 0.627 0.877 0.750
Au 0.789 0.039 0.750
Au 0.877 0.627 0.250
Au 0.961 0.211 0.750